TiNi2TeO6: optimized geometry, PBE with a Hubbard U. Values from VASP.

V: 15.66 A^3/atom
Crystal system: tetragonal
Total energy: -5.71 eV/atom
Space-group type: No. 99
Mass density: 4.124 g/cm³
Magnetization: 0.0 μB per cell

Structure (Quantum ESPRESSO input):
```
&SYSTEM
  ibrav = 0, nat = 10, ntyp = 4
/
ATOMIC_SPECIES
Ti 47.87 Ti.upf
Ni 58.69 Ni.upf
Te 127.60 Te.upf
O 16.00 O.upf
CELL_PARAMETERS angstrom
-1.407 -3.122 -4.106
-0.295 -4.252 3.335
-5.213 1.104 0.947
ATOMIC_POSITIONS crystal
Ti 0.633 0.000 0.000
Ni 0.838 0.500 0.000
Ni 0.838 0.000 0.500
Te 0.546 0.500 0.500
O 0.767 0.243 0.243
O 0.767 0.243 0.757
O 0.203 0.500 0.500
O 0.320 0.000 0.000
O 0.767 0.757 0.757
O 0.767 0.757 0.243
```